## AcTc2O7 (PBE)

Data for a geometry-optimized AcTc2O7 structure.

Structure (extended XYZ):
```
10
Lattice="3.183 -4.997 0.000 3.183 4.997 0.000 0.000 0.000 3.823" Properties=species:S:1:pos:R:3 pbc="T T T"
Ac 0.000 0.000 0.000
Tc 3.183 1.899 1.912
Tc 3.183 -1.899 1.912
O 1.160 1.412 1.912
O 3.183 1.961 0.000
O 1.160 -1.412 1.912
O 3.183 0.000 1.912
O 5.206 1.412 1.912
O 3.183 -1.961 0.000
O 5.206 -1.412 1.912
```

The value obtained for the raw formation energy is -43.18 kcal/mol of atoms. Its total energy is -78.3 eV for the cell shown.